Pm8NiPb2 | PBE | optimized geometry

Unit cell a=10.094 b=10.094 c=7.032 alpha=102.52 beta=102.52 gamma=28.83
Atoms (fractional coordinates):
Pm (0.011, 0.011, 0.282)
Pm (0.215, 0.215, 0.828)
Pm (0.359, 0.359, 0.488)
Pm (0.409, 0.409, 0.018)
Pm (0.591, 0.591, 0.982)
Pm (0.641, 0.641, 0.512)
Pm (0.785, 0.785, 0.172)
Pm (0.989, 0.989, 0.718)
Ni (0.500, 0.500, 0.500)
Pb (0.182, 0.182, 0.269)
Pb (0.818, 0.818, 0.731)

## Properties
DFT total energy: -0.1802 hartree per atom
Space group: C2/m, No. 12
Formation energy from the elements: -0.248 eV per atom
Crystal system: monoclinic

=====

Ti3Ga2Pt2 | PBE | optimized geometry

Unit cell a=9.412 b=9.412 c=9.412 alpha=162.33 beta=153.83 gamma=31.75
Atoms (fractional coordinates):
Ti (0.000, 0.000, 0.000)
Ti (0.298, 0.798, 0.500)
Ti (0.702, 0.202, 0.500)
Ga (0.432, 0.432, 0.000)
Ga (0.568, 0.568, 0.000)
Pt (0.150, 0.650, 0.500)
Pt (0.850, 0.350, 0.500)

## Properties
DFT total energy: -0.2446 hartree per atom
Space group: Immm, No. 71
Formation energy from the elements: -0.680 eV per atom
Crystal system: orthorhombic

=====

AsRu2W | PBE | optimized geometry

Unit cell a=2.834 b=4.051 c=5.382 alpha=90.00 beta=105.26 gamma=90.00
Atoms (fractional coordinates):
As (0.000, 0.000, 0.000)
Ru (0.129, 0.500, 0.253)
Ru (0.764, 0.000, 0.523)
W (0.383, 0.500, 0.764)

## Properties
DFT total energy: -0.3282 hartree per atom
Space group: Pm, No. 6
Formation energy from the elements: 0.107 eV per atom
Crystal system: monoclinic

=====

Pm6Pr4Tm | PBE | optimized geometry

Unit cell a=9.750 b=9.750 c=9.750 alpha=139.12 beta=139.12 gamma=59.20
Atoms (fractional coordinates):
Pm (0.000, 0.500, 0.500)
Pm (0.207, 0.207, 0.653)
Pm (0.446, 0.793, 0.000)
Pm (0.500, 0.000, 0.500)
Pm (0.554, 0.554, 0.347)
Pm (0.793, 0.446, 0.000)
Pr (0.012, 0.634, 0.000)
Pr (0.366, 0.366, 0.379)
Pr (0.634, 0.012, 0.000)
Pr (0.988, 0.988, 0.621)
Tm (0.000, 0.000, 0.000)

## Properties
DFT total energy: -0.1640 hartree per atom
Space group: I-42m, No. 121
Formation energy from the elements: 0.273 eV per atom
Crystal system: tetragonal

=====

CsSe2S2 | PBE | optimized geometry

Unit cell a=11.140 b=10.036 c=7.034 alpha=79.35 beta=62.30 gamma=38.36
Atoms (fractional coordinates):
Cs (0.125, 0.125, 0.125)
Cs (0.875, 0.875, 0.875)
Se (0.206, 0.544, 0.206)
Se (0.456, 0.794, 0.456)
Se (0.544, 0.206, 0.544)
Se (0.794, 0.456, 0.794)
S (0.180, 0.180, 0.570)
S (0.430, 0.430, 0.820)
S (0.570, 0.570, 0.180)
S (0.820, 0.820, 0.430)

## Properties
DFT total energy: -0.1298 hartree per atom
Space group: Fddd, No. 70
Crystal system: orthorhombic
Energy above the most stable polymorph in this dataset: 48 meV/atom
ΔE_f (raw): -0.3155 eV/atom

=====

Tb2NdHo5Tm | PBE | optimized geometry

Unit cell a=9.662 b=9.662 c=9.662 alpha=125.12 beta=125.12 gamma=81.35
Atoms (fractional coordinates):
Tb (0.113, 0.613, 0.726)
Tb (0.387, 0.113, 0.500)
Tb (0.613, 0.887, 0.500)
Tb (0.887, 0.387, 0.274)
Nd (0.250, 0.250, 0.000)
Nd (0.750, 0.750, 0.000)
Ho (0.000, 0.000, 0.000)
Ho (0.073, 0.161, 0.500)
Ho (0.161, 0.661, 0.088)
Ho (0.339, 0.427, 0.500)
Ho (0.427, 0.927, 0.088)
Ho (0.500, 0.500, 0.000)
Ho (0.573, 0.073, 0.912)
Ho (0.661, 0.573, 0.500)
Ho (0.839, 0.339, 0.912)
Ho (0.927, 0.839, 0.500)
Tm (0.250, 0.750, 0.500)
Tm (0.750, 0.250, 0.500)

## Properties
DFT total energy: -0.1583 hartree per atom
Space group: I4/mcm, No. 140
Formation energy from the elements: 0.291 eV per atom
Crystal system: tetragonal

=====

BaAuIN2 | PBE | optimized geometry

Unit cell a=4.629 b=4.629 c=5.521 alpha=90.00 beta=90.00 gamma=90.00
Atoms (fractional coordinates):
Ba (0.000, 0.000, 0.000)
Au (0.500, 0.500, 0.500)
I (0.500, 0.500, 0.000)
N (0.000, 0.500, 0.500)
N (0.500, 0.000, 0.500)

## Properties
DFT total energy: -0.1368 hartree per atom
Space group: P4/mmm, No. 123
Crystal system: tetragonal
Energy above the most stable polymorph in this dataset: 0 meV/atom
ΔE_f (raw): 0.9568 eV/atom

=====

Li2CrCu | PBE | optimized geometry

Unit cell a=2.434 b=4.149 c=5.367 alpha=90.00 beta=90.00 gamma=90.00
Atoms (fractional coordinates):
Li (0.000, 0.000, 0.000)
Li (0.500, 0.500, 0.245)
Cr (0.000, 0.000, 0.527)
Cu (0.500, 0.500, 0.720)

## Properties
DFT total energy: -0.1489 hartree per atom
Space group: Pmm2, No. 25
Formation energy from the elements: 0.335 eV per atom
Crystal system: orthorhombic
Energy above the most stable polymorph in this dataset: 71 meV/atom

=====

PmErGaN3 | PBE | optimized geometry

Unit cell a=7.214 b=3.424 c=7.607 alpha=90.00 beta=97.30 gamma=90.00
Atoms (fractional coordinates):
Pm (0.174, 0.250, 0.184)
Pm (0.826, 0.750, 0.816)
Er (0.362, 0.750, 0.847)
Er (0.638, 0.250, 0.153)
Ga (0.108, 0.250, 0.603)
Ga (0.892, 0.750, 0.397)
N (0.129, 0.250, 0.858)
N (0.171, 0.750, 0.492)
N (0.403, 0.750, 0.142)
N (0.597, 0.250, 0.858)
N (0.829, 0.250, 0.508)
N (0.871, 0.750, 0.142)

## Properties
DFT total energy: -0.2653 hartree per atom
Space group: P2_1/m, No. 11
Crystal system: monoclinic
ΔE_f (raw): -0.9989 eV/atom

=====

CaTlGa | PBE | optimized geometry

Unit cell a=8.790 b=8.790 c=4.253 alpha=90.00 beta=90.00 gamma=150.60
Atoms (fractional coordinates):
Ca (0.095, 0.905, 0.750)
Ca (0.905, 0.095, 0.250)
Tl (0.291, 0.709, 0.750)
Tl (0.709, 0.291, 0.250)
Ga (0.460, 0.540, 0.750)
Ga (0.540, 0.460, 0.250)

## Properties
DFT total energy: -0.1039 hartree per atom
Space group: Cmcm, No. 63
Formation energy from the elements: -0.364 eV per atom
Crystal system: orthorhombic

=====

La2PmErTl2 | PBE | optimized geometry

Unit cell a=5.159 b=10.306 c=7.020 alpha=90.00 beta=90.00 gamma=90.00
Atoms (fractional coordinates):
La (0.000, 0.063, 0.000)
La (0.000, 0.937, 0.500)
La (0.500, 0.175, 0.230)
La (0.500, 0.825, 0.730)
Pm (0.500, 0.455, 0.876)
Pm (0.500, 0.545, 0.376)
Er (0.000, 0.306, 0.584)
Er (0.000, 0.694, 0.084)
Tl (0.000, 0.388, 0.141)
Tl (0.000, 0.612, 0.641)
Tl (0.500, 0.150, 0.710)
Tl (0.500, 0.850, 0.210)

## Properties
DFT total energy: -0.1569 hartree per atom
Space group: Pmc2_1, No. 26
Formation energy from the elements: -0.287 eV per atom
Crystal system: orthorhombic

=====

Co2CuAs | PBE | optimized geometry

Unit cell a=2.727 b=3.939 c=4.852 alpha=90.00 beta=106.26 gamma=90.00
Atoms (fractional coordinates):
Co (0.000, 0.000, 0.000)
Co (0.395, 0.500, 0.788)
Cu (0.647, 0.500, 0.297)
As (0.262, 0.000, 0.531)

## Properties
DFT total energy: -0.2054 hartree per atom
Space group: Pm, No. 6
Formation energy from the elements: 0.151 eV per atom
Crystal system: monoclinic

=====

ZnIr2Cl | PBE | optimized geometry

Unit cell a=4.462 b=4.462 c=4.462 alpha=60.00 beta=60.00 gamma=60.00
Atoms (fractional coordinates):
Zn (0.000, 0.000, 0.000)
Ir (0.250, 0.250, 0.250)
Ir (0.500, 0.500, 0.500)
Cl (0.750, 0.750, 0.750)

## Properties
DFT total energy: -0.1627 hartree per atom
Space group: F-43m, No. 216
Crystal system: cubic
Energy above the most stable polymorph in this dataset: 640 meV/atom
ΔE_f (raw): 0.7836 eV/atom

=====

Hg2Bi2Se | PBE | optimized geometry

Unit cell a=8.036 b=8.036 c=4.454 alpha=90.00 beta=90.00 gamma=90.00
Atoms (fractional coordinates):
Hg (0.164, 0.336, 0.000)
Hg (0.336, 0.836, 0.000)
Hg (0.664, 0.164, 0.000)
Hg (0.836, 0.664, 0.000)
Bi (0.133, 0.633, 0.500)
Bi (0.367, 0.133, 0.500)
Bi (0.633, 0.867, 0.500)
Bi (0.867, 0.367, 0.500)
Se (0.000, 0.000, 0.000)
Se (0.500, 0.500, 0.000)

## Properties
DFT total energy: -0.0785 hartree per atom
Space group: P4/mbm, No. 127
Crystal system: tetragonal
Energy above the most stable polymorph in this dataset: 166 meV/atom
ΔE_f (raw): 0.2347 eV/atom

=====

CaTiAgC2 | PBE | optimized geometry

Unit cell a=4.336 b=4.336 c=4.873 alpha=90.00 beta=90.00 gamma=90.00
Atoms (fractional coordinates):
Ca (0.000, 0.000, 0.000)
Ti (0.500, 0.500, 0.000)
Ag (0.500, 0.500, 0.500)
C (0.000, 0.500, 0.500)
C (0.500, 0.000, 0.500)

## Properties
DFT total energy: -0.1520 hartree per atom
Space group: P4/mmm, No. 123
Formation energy from the elements: 2.103 eV per atom
Crystal system: tetragonal

=====

BaTl3F | PBE | optimized geometry

Unit cell a=5.398 b=5.398 c=5.398 alpha=90.00 beta=90.00 gamma=90.00
Atoms (fractional coordinates):
Ba (0.000, 0.000, 0.000)
Tl (0.000, 0.500, 0.500)
Tl (0.500, 0.000, 0.500)
Tl (0.500, 0.500, 0.000)
F (0.500, 0.500, 0.500)

## Properties
DFT total energy: -0.1078 hartree per atom
Space group: Pm-3m, No. 221
Crystal system: cubic
Energy above the most stable polymorph in this dataset: 0 meV/atom
ΔE_f (raw): -0.7554 eV/atom

=====

K2RbPb | PBE | optimized geometry

Unit cell a=5.988 b=5.988 c=5.480 alpha=90.00 beta=90.00 gamma=90.00
Atoms (fractional coordinates):
K (0.000, 0.500, 0.000)
K (0.500, 0.000, 0.000)
Rb (0.000, 0.000, 0.500)
Pb (0.500, 0.500, 0.500)

## Properties
DFT total energy: -0.0621 hartree per atom
Space group: P4/mmm, No. 123
Formation energy from the elements: 0.027 eV per atom
Crystal system: tetragonal
Energy above the most stable polymorph in this dataset: 73 meV/atom

=====

ScGaCuCl | PBE | optimized geometry

Unit cell a=7.541 b=7.541 c=3.432 alpha=90.35 beta=90.35 gamma=26.30
Atoms (fractional coordinates):
Sc (0.000, 0.000, 0.000)
Ga (0.350, 0.350, 0.996)
Cu (0.837, 0.837, 0.495)
Cl (0.584, 0.584, 0.502)

## Properties
DFT total energy: -0.1614 hartree per atom
Space group: Cm, No. 8
Crystal system: monoclinic
Energy above the most stable polymorph in this dataset: 88 meV/atom
ΔE_f (raw): -0.5671 eV/atom

=====

LiLa2Al3Pt4 | PBE | optimized geometry

Unit cell a=4.312 b=4.312 c=10.547 alpha=90.00 beta=90.00 gamma=90.00
Atoms (fractional coordinates):
Li (0.000, 0.000, 0.000)
La (0.000, 0.500, 0.749)
La (0.500, 0.000, 0.251)
Al (0.000, 0.500, 0.377)
Al (0.500, 0.000, 0.623)
Al (0.500, 0.500, 0.000)
Pt (0.000, 0.000, 0.500)
Pt (0.000, 0.500, 0.137)
Pt (0.500, 0.000, 0.863)
Pt (0.500, 0.500, 0.500)

## Properties
DFT total energy: -0.2117 hartree per atom
Space group: P-4m2, No. 115
Formation energy from the elements: -1.045 eV per atom
Crystal system: tetragonal

=====

Ag2IrCl8 | PBE | optimized geometry

Unit cell a=7.577 b=7.577 c=6.800 alpha=108.59 beta=108.59 gamma=86.06
Atoms (fractional coordinates):
Ag (0.155, 0.155, 0.107)
Ag (0.845, 0.845, 0.893)
Ir (0.000, 0.000, 0.500)
Cl (0.088, 0.773, 0.677)
Cl (0.213, 0.213, 0.794)
Cl (0.227, 0.912, 0.323)
Cl (0.414, 0.414, 0.347)
Cl (0.586, 0.586, 0.653)
Cl (0.773, 0.088, 0.677)
Cl (0.787, 0.787, 0.206)
Cl (0.912, 0.227, 0.323)

## Properties
DFT total energy: -0.1105 hartree per atom
Space group: C2/m, No. 12
Crystal system: monoclinic
Energy above the most stable polymorph in this dataset: 0 meV/atom
ΔE_f (raw): -0.3393 eV/atom